# Sm4SbPt

Crystalline Sm4SbPt at its relaxed geometry (PBE, Alexandria).

```
Sm4SbPt
1.0
-5.4648 1.1703 -2.0527
-1.0343 -4.2997 7.3349
3.2148 7.6288 0.9088
Sm Sb Pt
8 2 2
direct
0.0481 0.2121 0.8497
0.7734 0.7024 0.6308
0.3016 0.6377 0.8497
0.3574 0.9284 0.6308
0.6426 0.0716 0.3692
0.6984 0.3623 0.1503
0.2266 0.2976 0.3692
0.9519 0.7879 0.1503
0.3713 0.6213 0.2426
0.6287 0.3787 0.7574
0.2481 0.9981 0.9963
0.7519 0.0019 0.0037
```

Values from the calculation:
E_form (uncorrected), eV/atom: -0.725
Total energy, eV/cell: -66.783
Space-group type: C2/c, No. 15
Energy above the most stable polymorph in this dataset, eV per atom: 0.057
Crystal system: monoclinic